[1]
LiCuPt2, single point on PBEsol structure, DFT SCAN; Fermi-level density of states = 2.6 states/eV per cell; E above lowest polymorph = 104.7 meV/atom; magnetic moment = 0.0 Bohr magnetons per cell; ΔH_f (0 K) = -317 meV/atom
1.0
2.942 0.000 0.000
0.000 2.942 0.000
0.000 0.000 5.892
Li Cu Pt
1 1 2
Direct
0.000 0.000 0.000
0.000 0.000 0.500
0.500 0.500 0.243
0.500 0.500 0.757

***

[2]
LiCuPt2, single point on PBEsol structure, DFT SCAN; Fermi-level density of states = 1.0 states/eV per cell; E above lowest polymorph = 51.2 meV/atom; magnetic moment = 0.0 Bohr magnetons per cell; ΔH_f (0 K) = -371 meV/atom
1.0
1.370 -2.280 0.000
1.370 2.280 0.000
0.000 0.000 8.717
Li Cu Pt
1 1 2
Direct
0.000 0.000 0.000
0.000 0.000 0.500
0.500 0.500 0.249
0.500 0.500 0.751

***

[3]
LiCuPt2, single point on PBEsol structure, DFT SCAN; Fermi-level density of states = 2.8 states/eV per cell; E above lowest polymorph = 90.5 meV/atom; magnetic moment = 0.0 Bohr magnetons per cell; ΔH_f (0 K) = -332 meV/atom
1.0
0.000 2.950 2.950
2.950 0.000 2.950
2.950 2.950 0.000
Li Cu Pt
1 1 2
Direct
0.000 0.000 0.000
0.500 0.500 0.500
0.250 0.250 0.250
0.750 0.750 0.750

***

[4]
LiCuPt2, single point on PBEsol structure, DFT SCAN; Fermi-level density of states = 2.1 states/eV per cell; E above lowest polymorph = 0.0 meV/atom; magnetic moment = 0.0 Bohr magnetons per cell; ΔH_f (0 K) = -422 meV/atom
1.0
1.347 0.778 8.575
-1.347 0.778 8.575
0.000 -1.555 8.575
Li Cu Pt
1 1 2
Direct
0.000 0.000 0.000
0.500 0.500 0.500
0.250 0.250 0.250
0.750 0.750 0.750

***

[5]
LiCuPt3, single point on PBEsol structure, DFT SCAN; Fermi-level density of states = 4.0 states/eV per cell; magnetic moment = 0.0 Bohr magnetons per cell; ΔH_f (0 K) = 757 meV/atom
1.0
4.535 0.000 0.000
0.000 4.535 0.000
0.000 0.000 4.535
Li Cu Pt
1 1 3
Direct
0.000 0.000 0.000
0.500 0.500 0.500
0.000 0.500 0.500
0.500 0.000 0.500
0.500 0.500 0.000

***

[6]
LiCuPt2, single point on PBEsol structure, DFT SCAN; Fermi-level density of states = 1.2 states/eV per cell; E above lowest polymorph = 66.8 meV/atom; magnetic moment = 0.0 Bohr magnetons per cell; ΔH_f (0 K) = -355 meV/atom
1.0
-1.380 2.283 4.329
1.380 -2.283 4.329
1.380 2.283 -4.329
Li Cu Pt
1 1 2
Direct
0.000 0.000 0.000
0.500 0.500 0.000
0.252 0.752 0.500
0.748 0.248 0.500

***

[7]
LiCuPt2, single point on PBEsol structure, DFT SCAN; Fermi-level density of states = 1.2 states/eV per cell; E above lowest polymorph = 24.0 meV/atom; magnetic moment = 0.0 Bohr magnetons per cell; ΔH_f (0 K) = -398 meV/atom
1.0
2.745 0.000 0.000
0.000 4.307 0.000
0.000 0.000 4.582
Li Cu Pt
1 1 2
Direct
0.000 0.000 0.000
0.500 0.000 0.500
0.000 0.500 0.500
0.500 0.500 0.000

***

[8]
LiCuPt2, single point on PBEsol structure, DFT SCAN; Fermi-level density of states = 1.3 states/eV per cell; E above lowest polymorph = 48.2 meV/atom; magnetic moment = 0.0 Bohr magnetons per cell; ΔH_f (0 K) = -374 meV/atom
1.0
2.666 0.000 0.000
0.000 4.311 0.000
-0.173 0.000 4.728
Li Cu Pt
1 1 2
Direct
0.000 0.000 0.000
0.500 0.000 0.500
0.248 0.500 0.751
0.752 0.500 0.249